Record 1
A plane-wave DFT calculation with PBE-GGA was carried out for crystalline YNpGa2O8 at its relaxed geometry.

Unit cell a=5.9074 b=5.9074 c=5.9074 alpha=108.30 beta=108.30 gamma=111.84
Positions (direct):
O 0.9569 0.6348 0.6780
O 0.3118 0.1129 0.8010
O 0.3652 0.0431 0.3220
O 0.7211 0.0431 0.6780
O 0.4892 0.6882 0.8010
O 0.8871 0.6882 0.1990
O 0.9569 0.2789 0.3220
O 0.3118 0.5108 0.1990
Ga 0.7500 0.2500 0.5000
Ga 0.5000 0.5000 0.0000
Np 0.2500 0.7500 0.5000
Y 0.0000 0.0000 0.0000

Computed properties:
Calculated volume, A^3/atom: 13.208
Spin magnetization, μB/f.u.: 0.0
Crystal system: tetragonal
SG: I-4m2 (119)
Formation energy without anion corrections, meV/atom: -2288
Calculated total energy, eV per atom: -7.72

=====

Record 2
A plane-wave DFT calculation with PBE-GGA was carried out for crystalline YNpGaO6 at its relaxed geometry.

Unit cell a=5.3077 b=5.3077 c=9.9580 alpha=90.00 beta=90.00 gamma=120.00
Last column: magnetic moment on the atom in μB.
Positions (direct):
O 0.9923 0.6450 0.8622  -0.04
O 0.6450 0.6527 0.1378  -0.04
O 0.3550 0.3473 0.8622  -0.04
O 0.9923 0.3473 0.6378  -0.04
O 0.3473 0.3550 0.3622  -0.04
O 0.6527 0.0077 0.8622  -0.04
O 0.0077 0.6527 0.3622  -0.04
O 0.0077 0.3550 0.1378  -0.04
O 0.3473 0.9923 0.1378  -0.04
O 0.6450 0.9923 0.3622  -0.04
O 0.3550 0.0077 0.6378  -0.04
O 0.6527 0.6450 0.6378  -0.04
Ga 0.6667 0.3333 0.7500  0.00
Ga 0.3333 0.6667 0.2500  0.00
Np 0.6667 0.3333 0.2500  1.22
Np 0.3333 0.6667 0.7500  1.22
Y 0.0000 0.0000 0.5000  -0.01
Y 0.0000 0.0000 0.0000  -0.01

Computed properties:
Calculated volume, A^3/atom: 13.497
Spin magnetization, μB/f.u.: 1.0
Crystal system: trigonal
SG: P-31c (163)
Formation energy without anion corrections, meV/atom: -2694
Calculated total energy, eV per atom: -8.49

=====

Record 3
A plane-wave DFT calculation with PBE-GGA was carried out for crystalline NpZn2GaO8 at its relaxed geometry.

Unit cell a=5.8166 b=5.8166 c=5.8166 alpha=112.25 beta=112.25 gamma=104.05
Last column: magnetic moment on the atom in μB.
Positions (direct):
O 0.8996 0.6934 0.2063  0.07
O 0.9514 0.6577 0.7062  0.37
O 0.7548 0.0486 0.7062  0.37
O 0.3066 0.5129 0.2063  0.07
O 0.4871 0.6934 0.7937  0.07
O 0.3066 0.1004 0.7937  0.07
O 0.9514 0.2452 0.2938  0.37
O 0.3423 0.0486 0.2938  0.37
Ga 0.0000 0.0000 0.0000  -0.02
Np 0.2500 0.7500 0.5000  -0.17
Zn 0.5000 0.5000 0.0000  0.01
Zn 0.7500 0.2500 0.5000  0.07

Computed properties:
Calculated volume, A^3/atom: 12.540
Spin magnetization, μB/f.u.: 2.0
Crystal system: tetragonal
SG: I-4m2 (119)
N(E_F), states/eV/atom: 0.562
Formation energy without anion corrections, meV/atom: -1440
Calculated total energy, eV per atom: -6.29

=====

Record 4
A plane-wave DFT calculation with PBE-GGA was carried out for crystalline NpZnGaO6 at its relaxed geometry.

Unit cell a=5.2342 b=5.2342 c=9.1352 alpha=90.00 beta=90.00 gamma=120.00
Positions (direct):
O 0.6576 0.6545 0.1324
O 0.3424 0.9970 0.6324
O 0.9970 0.6545 0.3676
O 0.6545 0.6576 0.6324
O 0.9970 0.3424 0.1324
O 0.0030 0.3455 0.6324
O 0.3455 0.3424 0.3676
O 0.3424 0.3455 0.8676
O 0.6545 0.9970 0.8676
O 0.6576 0.0030 0.3676
O 0.3455 0.0030 0.1324
O 0.0030 0.6576 0.8676
Ga 0.6667 0.3333 0.2500
Ga 0.3333 0.6667 0.7500
Np 0.6667 0.3333 0.7500
Np 0.3333 0.6667 0.2500
Zn 0.0000 0.0000 0.0000
Zn 0.0000 0.0000 0.5000

Computed properties:
Calculated volume, A^3/atom: 12.041
Spin magnetization, μB/f.u.: 0.0
Crystal system: trigonal
SG: P-31c (163)
Formation energy without anion corrections, meV/atom: -1932
Calculated total energy, eV per atom: -7.15

=====

Record 5
A plane-wave DFT calculation with PBE-GGA was carried out for crystalline Np2Ga6Os at its relaxed geometry.

Unit cell a=5.5465 b=5.9062 c=5.9062 alpha=60.01 beta=90.01 gamma=90.01
Last column: magnetic moment on the atom in μB.
Positions (direct):
Os 0.0000 0.0000 0.0000  -0.09
Np 0.8162 0.6668 0.6668  3.90
Np 0.1838 0.3332 0.3332  3.90
Ga 0.3163 0.8229 0.3539  0.01
Ga 0.6837 0.1769 0.1769  0.01
Ga 0.6837 0.1771 0.6461  0.01
Ga 0.3163 0.3539 0.8229  0.01
Ga 0.6837 0.6461 0.1771  0.01
Ga 0.3163 0.8231 0.8231  0.01

Computed properties:
Calculated volume, A^3/atom: 18.619
Spin magnetization, μB/f.u.: 8.5
Crystal system: trigonal
SG: P-3m1 (164)
N(E_F), states/eV/atom: 2.331
DFT formation energy, eV/atom: -0.15
Calculated total energy, eV per atom: -6.29

=====

Record 6
A plane-wave DFT calculation with PBE-GGA was carried out for crystalline NpGaOs at its relaxed geometry.

Unit cell a=3.2080 b=4.4556 c=4.4556 alpha=120.00 beta=90.00 gamma=90.00
Last column: magnetic moment on the atom in μB.
Positions (direct):
Os 0.1667 0.0000 0.0000  -0.44
Ga 0.1666 0.6667 0.3333  -0.01
Np 0.6667 0.3333 0.6667  3.04

Computed properties:
Calculated volume, A^3/atom: 18.385
Spin magnetization, μB/f.u.: 2.7
Crystal system: hexagonal
SG: P-6m2 (187)
N(E_F), states/eV/atom: 1.712
DFT formation energy, eV/atom: 0.00
Calculated total energy, eV per atom: -9.07